# CrHF2 | Alexandria via LeMat-Bulk | PBE with a Hubbard U | optimized geometry
# spin magnetization = 5.0 μB per formula unit
# VASP energy = -4.628 eV/atom
data_CrHF2
_cell_length_a 4.683
_cell_length_b 4.683
_cell_length_c 7.223
_cell_angle_alpha 90.00
_cell_angle_beta 90.00
_cell_angle_gamma 90.00
_space_group_name_H-M_alt 'I -4 2 d'
_space_group_IT_number 122
_space_group_name_Hall 'I -4 2bw'
loop_
_atom_site_label
_atom_site_type_symbol
_atom_site_fract_x
_atom_site_fract_y
_atom_site_fract_z
_atom_site_occupancy
Cr1 Cr 0.000 0.000 0.000 1
H1 H 0.000 0.000 0.500 1
F1 F 0.112 0.250 0.625 1